Model A:
Density functional theory data (PBE) for a relaxed structure of SrNd2C.

```
SrNd2C
1.0
3.802 0.000 0.000
-1.901 3.294 -0.043
0.000 0.085 10.142
C Nd Sr
1 2 1
Direct
0.000 0.000 0.500
0.668 0.336 0.637
0.332 0.664 0.363
0.000 0.000 0.000
```

Output
**SG**: C2/m, No. 12
**M_tot**: 0.00 μB per cell



Model B:
Density functional theory data (PBE) for a relaxed structure of SrNd2C.

```
SrNd2C
1.0
3.760 0.000 0.000
1.880 3.256 0.000
1.880 1.085 10.459
Sr C Nd
1 1 2
Direct
0.000 0.000 0.000
0.500 0.500 0.500
0.122 0.122 0.634
0.878 0.878 0.366
```

Output
**SG**: R-3m, No. 166
**M_tot**: 0.00 μB per cell



Stability, descending: model A, model B



Model A:
Density functional theory data (PBE) for a relaxed structure of TbNdC.

```
TbNdC
1.0
-2.067 -3.670 4.746
-3.943 -4.054 -4.852
4.904 -3.805 -0.806
Tb C Nd
4 4 4
Direct
0.750 0.096 0.563
0.250 0.904 0.437
0.750 0.904 0.063
0.250 0.096 0.937
0.500 0.869 0.750
0.500 0.131 0.250
0.000 0.869 0.750
0.000 0.131 0.250
0.750 0.653 0.598
0.750 0.347 0.098
0.250 0.653 0.902
0.250 0.347 0.402
```

Output
**SG**: Pbcm, No. 57
**M_tot**: 0.00 μB per cell



Model B:
Density functional theory data (PBE) for a relaxed structure of TbNdC.

```
TbNdC
1.0
3.509 0.000 -0.966
-0.221 6.260 -0.803
-0.020 -0.116 6.786
Nd C Tb
2 2 2
Direct
0.388 0.632 0.777
0.612 0.368 0.223
0.000 0.500 0.000
0.500 0.000 0.000
0.103 0.865 0.206
0.897 0.135 0.794
```

Output
**SG**: C2/m, No. 12
**M_tot**: 0.01 μB per cell



Model C:
Density functional theory data (PBE) for a relaxed structure of TbNdC.

```
TbNdC
1.0
-0.941 -0.408 -3.480
2.301 -2.342 1.544
-5.029 -3.753 1.799
Nd Tb C
1 1 1
Direct
0.000 0.000 0.116
0.333 0.667 0.541
0.667 0.333 0.343
```

Output
**SG**: P3m1, No. 156
**M_tot**: 0.00 μB per cell



Stability, descending: model B, model C, model A



Model A:
Density functional theory data (PBE) for a relaxed structure of NdTcC.

```
NdTcC
1.0
-2.136 -4.064 -1.046
2.841 -1.019 -1.845
-0.238 -0.762 3.446
C Tc Nd
1 1 1
Direct
0.166 0.000 0.000
0.167 0.333 0.667
0.667 0.667 0.333
```

Output
**SG**: P-6m2, No. 187
**M_tot**: 0.00 μB per cell



Model B:
Density functional theory data (PBE) for a relaxed structure of NdTcC.

```
NdTcC
1.0
-3.256 -0.393 0.983
-1.138 -0.294 -3.888
1.123 -8.516 0.316
Nd Tc C
2 2 2
Direct
0.000 0.000 0.812
0.500 0.500 0.188
0.000 0.000 0.452
0.500 0.500 0.548
0.500 0.000 0.594
0.000 0.500 0.406
```

Output
**SG**: Pmmn, No. 59
**M_tot**: 0.00 μB per cell



Model C:
Density functional theory data (PBE) for a relaxed structure of NdTcC.

```
NdTcC
1.0
3.678 0.000 -0.013
0.000 5.762 0.000
0.018 0.000 5.309
Nd C Tc
2 2 2
Direct
0.500 0.750 0.751
0.500 0.250 0.249
0.000 0.500 0.500
0.000 0.000 0.500
0.000 0.250 0.737
0.000 0.750 0.263
```

Output
**SG**: Pmma, No. 51
**M_tot**: 0.00 μB per cell



Stability, descending: model B, model C, model A



Model A:
Density functional theory data (PBE) for a relaxed structure of Nd4TeC.

```
Nd4TeC
1.0
6.086 1.104 1.682
3.796 7.728 4.802
0.740 0.428 8.845
Nd C Te
8 2 2
Direct
0.349 0.158 0.094
0.613 0.667 0.386
0.651 0.842 0.906
0.151 0.748 0.094
0.113 0.052 0.614
0.849 0.252 0.906
0.887 0.948 0.386
0.387 0.333 0.614
0.250 0.927 0.146
0.750 0.073 0.854
0.250 0.623 0.755
0.750 0.377 0.245
```

Output
**SG**: C2/c, No. 15
**M_tot**: 0.00 μB per cell



Model B:
Density functional theory data (PBE) for a relaxed structure of Nd4TeC.

```
Nd4TeC
1.0
-2.986 -2.706 -5.205
-0.840 -5.126 5.554
-4.345 7.061 1.781
Te Nd C
2 8 2
Direct
0.638 0.388 0.776
0.362 0.612 0.224
0.186 0.340 0.405
0.814 0.660 0.595
0.559 0.261 0.099
0.281 0.935 0.595
0.040 0.838 0.099
0.960 0.162 0.901
0.719 0.065 0.405
0.441 0.739 0.901
0.818 0.068 0.136
0.182 0.932 0.864
```

Output
**SG**: C2/c, No. 15
**M_tot**: 0.00 μB per cell



Stability, descending: model B, model A



Model A:
Density functional theory data (PBE) for a relaxed structure of Nd4Te3C.

```
Nd4Te3C
1.0
-5.102 2.595 -2.459
-1.286 -7.593 -5.344
-5.320 -3.941 6.880
Te Nd C
6 8 2
Direct
0.067 0.137 0.500
0.074 0.654 0.215
0.574 0.346 0.285
0.574 0.346 0.715
0.567 0.863 0.000
0.074 0.654 0.785
0.101 0.813 0.500
0.070 0.311 0.215
0.070 0.311 0.785
0.570 0.689 0.285
0.601 0.187 0.000
0.562 0.068 0.500
0.570 0.689 0.715
0.062 0.932 0.000
0.497 0.812 0.500
0.997 0.188 0.000
```

Output
**SG**: Pmn2_1, No. 31
**M_tot**: 0.00 μB per cell



Model B:
Density functional theory data (PBE) for a relaxed structure of Nd4Te3C.

```
Nd4Te3C
1.0
-2.544 -0.793 3.285
4.264 -6.053 1.841
2.748 6.134 3.610
Te Nd C
3 4 1
Direct
0.500 0.500 0.500
0.000 0.000 0.500
0.000 0.500 0.000
0.500 0.788 0.212
0.000 0.796 0.796
0.000 0.204 0.204
0.500 0.212 0.788
0.500 0.000 0.000
```

Output
**SG**: Cmmm, No. 65
**M_tot**: 0.00 μB per cell



Stability, descending: model B, model A



Model A:
Density functional theory data (PBE) for a relaxed structure of NdTh2C.

```
NdTh2C
1.0
3.608 0.000 0.000
1.804 3.124 0.000
1.804 1.041 9.930
C Nd Th
1 1 2
Direct
0.500 0.500 0.500
0.000 0.000 0.000
0.117 0.117 0.648
0.883 0.883 0.352
```

Output
**SG**: R-3m, No. 166
**M_tot**: 0.00 μB per cell



Model B:
Density functional theory data (PBE) for a relaxed structure of NdTh2C.

```
NdTh2C
1.0
-1.775 3.212 -0.102
-1.890 -3.134 0.293
2.309 -0.532 9.283
Nd C Th
1 1 2
Direct
0.670 0.835 0.505
0.002 0.001 0.003
0.769 0.384 0.153
0.226 0.613 0.839
```

Output
**SG**: R3m, No. 160
**M_tot**: 0.00 μB per cell



Stability, descending: model B, model A



Model A:
Density functional theory data (PBE) for a relaxed structure of Nd6Tl2C.

```
Nd6Tl2C
1.0
7.192 0.000 -0.192
0.000 7.197 0.000
0.268 0.000 10.170
C Nd Tl
2 12 4
Direct
0.000 0.000 0.500
0.500 0.500 0.000
0.255 0.745 0.000
0.755 0.245 0.500
0.499 0.500 0.755
0.501 0.500 0.245
0.245 0.245 0.500
0.255 0.255 0.000
0.245 0.755 0.500
0.745 0.745 0.000
0.001 0.000 0.745
0.745 0.255 0.000
0.999 0.000 0.255
0.755 0.755 0.500
0.500 0.000 0.250
0.000 0.500 0.250
0.500 0.000 0.750
0.000 0.500 0.750
```

Output
**SG**: Fm-3m, No. 225
**M_tot**: 1.46 μB per cell



Model B:
Density functional theory data (PBE) for a relaxed structure of Nd6Tl2C.

```
Nd6Tl2C
1.0
3.693 0.000 0.000
0.000 9.047 0.000
0.000 -4.524 7.807
Nd C Tl
6 1 2
Direct
0.000 0.217 0.000
0.500 0.407 0.407
0.000 0.000 0.216
0.500 0.591 0.000
0.500 0.000 0.593
0.000 0.784 0.784
0.500 0.002 0.000
0.000 0.333 0.666
0.000 0.667 0.334
```

Output
**SG**: Amm2, No. 38
**M_tot**: 0.00 μB per cell



Stability, descending: model A, model B



Model A:
Density functional theory data (PBE) for a relaxed structure of NdUC2.

```
NdUC2
1.0
-0.151 -0.653 3.568
-3.051 -1.296 1.481
0.819 -6.149 0.757
C U Nd
2 1 1
Direct
0.269 0.269 0.194
0.731 0.731 0.806
0.000 0.000 0.000
0.500 0.500 0.500
```

Output
**SG**: R-3m, No. 166
**M_tot**: 0.00 μB per cell



Model B:
Density functional theory data (PBE) for a relaxed structure of NdUC2.

```
NdUC2
1.0
5.216 0.000 0.000
0.000 5.216 0.000
-2.608 -2.608 4.988
C Nd U
4 2 2
Direct
0.219 0.219 0.438
0.531 0.031 0.062
0.781 0.781 0.562
0.969 0.469 0.938
0.500 0.500 0.000
0.250 0.750 0.500
0.750 0.250 0.500
0.000 0.000 0.000
```

Output
**SG**: I4_1/amd, No. 141
**M_tot**: 0.00 μB per cell



Stability, descending: model A, model B